Entry 1:
First-principles (PBE-GGA) data for an optimized crystal structure of Be4SiPd, as listed in Alexandria via LeMat-Bulk.

Structure (extended XYZ):
```
6
Lattice="-3.7117 1.7319 -1.5887 -1.2469 -0.8794 -4.1198 -3.4839 -2.5723 -0.7389" Properties=species:S:1:pos:R:3 pbc="T T T"
Si -2.1106 -0.4299 -1.6119
Be -3.5331 0.2137 -3.6612
Be -3.4189 -1.9432 -3.2353
Be -5.2789 -1.0753 -4.0315
Be -4.6541 -0.6347 -1.9670
Pd 0.0000 0.0000 0.0000
```

Results
- ΔE_f (raw) (eV per atom) = -0.149
- VASP energy (eV/atom) = -4.403
- DOS(E_F) (states/eV/atom) = 0.336

=====

Entry 2:
First-principles (PBE-GGA) data for an optimized crystal structure of BeSiPd2, as listed in Alexandria via LeMat-Bulk.

Structure (extended XYZ):
```
4
Lattice="-1.8840 2.3753 -0.0147 -1.9339 -1.5136 3.2973 2.5760 2.0584 2.4557" Properties=species:S:1:pos:R:3 pbc="T T T"
Si -0.9420 1.1876 -0.0073
Pd -0.9670 -0.7568 1.6487
Pd 1.2880 1.0292 1.2279
Be -0.6210 1.4600 2.8692
```

Results
- ΔE_f (raw) (eV per atom) = -0.458
- VASP energy (eV/atom) = -5.342
- DOS(E_F) (states/eV/atom) = 0.328

=====

Entry 3:
First-principles (PBE-GGA) data for an optimized crystal structure of Be2SiPd6, as listed in Alexandria via LeMat-Bulk.

Structure (extended XYZ):
```
18
Lattice="5.1629 0.0000 0.4115 0.0000 6.1972 0.0000 -0.0031 0.0000 7.7504" Properties=species:S:1:pos:R:3 pbc="T T T"
Pd 4.2933 5.9086 2.1704
Pd 3.4495 2.8100 2.3219
Pd 1.7102 3.3872 5.8399
Pd 0.8784 2.1368 3.4567
Pd 3.2409 1.2484 4.6785
Pd 0.6610 1.8502 0.5975
Pd 3.4583 0.9618 7.5376
Pd 1.9189 4.9488 3.4834
Pd 4.4988 4.3470 7.5643
Pd 0.8665 0.2886 5.9914
Pd 4.2814 4.0604 4.7052
Pd 1.7015 5.2354 0.6243
Be 0.3814 3.8507 1.9317
Be 2.9613 5.4451 6.0126
Be 4.7784 2.3465 6.2301
Be 2.1985 0.7521 2.1492
Si 2.5815 3.0986 0.2057
Si -0.0016 0.0000 3.8752
```

Results
- ΔE_f (raw) (eV per atom) = -0.441
- VASP energy (eV/atom) = -5.334
- DOS(E_F) (states/eV/atom) = 0.258

=====

Entry 4:
First-principles (PBE-GGA) data for an optimized crystal structure of BeSiPd2, as listed in Alexandria via LeMat-Bulk.

Structure (extended XYZ):
```
8
Lattice="-0.0442 0.5191 -5.1753 -4.0290 -3.2765 -0.2942 -5.3551 2.6630 -2.3011" Properties=species:S:1:pos:R:3 pbc="T T T"
Pd -7.4612 -0.3186 -6.5029
Pd -5.6629 0.8663 -3.7856
Pd -1.8687 0.5653 -3.6936
Pd -3.8637 -1.3018 -1.5591
Si -3.7179 0.9017 -5.1056
Si 0.0000 0.0000 0.0000
Be -5.7104 -0.9961 -2.6650
Be -2.0366 -1.3787 -2.7348
```

Results
- ΔE_f (raw) (eV per atom) = 0.088
- VASP energy (eV/atom) = -4.796
- DOS(E_F) (states/eV/atom) = 0.379

=====

Entry 5:
First-principles (PBE-GGA) data for an optimized crystal structure of BeSiPd, as listed in Alexandria via LeMat-Bulk.

Structure (extended XYZ):
```
6
Lattice="4.0693 0.0000 0.0000 -2.0346 3.7018 0.1624 0.0000 -0.9408 5.2585" Properties=species:S:1:pos:R:3 pbc="T T T"
Si 2.0346 0.4391 1.6834
Si 0.0000 2.3219 3.7375
Be 0.0000 -0.2509 4.3044
Be 2.0346 3.0119 1.1164
Pd 2.0346 1.0574 4.1903
Pd 0.0000 1.7036 1.2306
```

Results
- ΔE_f (raw) (eV per atom) = -0.237
- offset from the most stable computed form (kcal/mol of atoms) = 1.065
- VASP energy (eV/atom) = -5.018
- DOS(E_F) (states/eV/atom) = 0.263

=====

Entry 6:
First-principles (PBE-GGA) data for an optimized crystal structure of Be5SiPd6, as listed in Alexandria via LeMat-Bulk.

Structure (extended XYZ):
```
12
Lattice="3.9216 -0.0095 -1.1033 -2.9493 5.6838 -2.9727 -0.1576 -0.8523 7.0064" Properties=species:S:1:pos:R:3 pbc="T T T"
Pd 2.1687 1.2205 0.1927
Pd -1.3540 3.6015 2.7376
Pd -0.2632 2.3094 -0.9393
Pd 1.0779 2.5126 3.8696
Pd 0.6743 0.1145 2.4118
Pd 0.1404 4.7075 0.5185
Be 1.8991 3.5044 -0.7632
Be 0.4073 2.4110 1.4652
Be -0.5178 4.5771 -1.8420
Be -1.0844 1.3175 3.6935
Be 1.3325 0.2448 4.7724
Si 0.0000 0.0000 0.0000
```

Results
- ΔE_f (raw) (eV per atom) = -0.547
- VASP energy (eV/atom) = -5.148
- DOS(E_F) (states/eV/atom) = 0.449

=====

Entry 7:
First-principles (PBE-GGA) data for an optimized crystal structure of BeSiPd2, as listed in Alexandria via LeMat-Bulk.

Structure (extended XYZ):
```
4
Lattice="3.7155 0.0000 0.0000 1.8578 3.2177 0.0000 1.8578 1.0726 4.6212" Properties=species:S:1:pos:R:3 pbc="T T T"
Pd 1.8578 1.0726 3.6727
Pd 1.8578 1.0726 0.9360
Si 3.7155 2.1452 2.3667
Be 5.5733 3.2177 4.5776
```

Results
- ΔE_f (raw) (eV per atom) = -0.418
- VASP energy (eV/atom) = -5.302
- DOS(E_F) (states/eV/atom) = 0.268

=====

Entry 8:
First-principles (PBE-GGA) data for an optimized crystal structure of BeSiPd5, as listed in Alexandria via LeMat-Bulk.

Structure (extended XYZ):
```
14
Lattice="5.2311 0.4561 0.7939 2.0921 4.8162 0.7939 3.6958 2.6607 9.5854" Properties=species:S:1:pos:R:3 pbc="T T T"
Pd 3.2441 5.1645 3.1902
Pd 6.7630 4.4433 5.9540
Pd 2.6087 2.5227 3.0203
Pd 6.5074 4.2593 10.0118
Pd 4.2559 3.4896 5.2191
Pd 7.7748 2.7684 7.9829
Pd 4.5115 3.6736 1.1613
Pd 5.9511 4.9290 3.3601
Pd 5.0678 3.0039 7.8130
Pd 8.4103 5.4103 8.1528
Be 0.0000 0.0000 0.0000
Be 1.8479 1.3304 4.7927
Si 5.9655 5.2817 7.9829
Si 5.0535 2.6513 3.1902
```

Results
- ΔE_f (raw) (eV per atom) = -0.269
- VASP energy (eV/atom) = -5.285
- DOS(E_F) (states/eV/atom) = 0.468

=====

Entry 9:
First-principles (PBE-GGA) data for an optimized crystal structure of Be2SiPd2, as listed in Alexandria via LeMat-Bulk.

Structure (extended XYZ):
```
10
Lattice="-3.9213 4.7506 0.0943 -2.2466 -1.9614 5.3907 2.1370 1.7338 1.5214" Properties=species:S:1:pos:R:3 pbc="T T T"
Pd -3.4182 2.4010 5.3146
Pd -1.0841 0.3517 4.3715
Pd -2.9467 4.1713 2.6349
Pd -0.6126 2.1220 1.6918
Be -1.3345 -0.1342 2.0274
Be -3.4293 0.0622 4.7461
Be -4.8333 2.9234 3.4576
Be -2.7385 2.7271 0.7389
Si 0.0000 0.0000 0.0000
Si -3.0839 1.3946 2.7425
```

Results
- ΔE_f (raw) (eV per atom) = -0.345
- offset from the most stable computed form (kcal/mol of atoms) = 0.000
- VASP energy (eV/atom) = -4.997
- DOS(E_F) (states/eV/atom) = 0.309

=====

Entry 10:
First-principles (PBE-GGA) data for an optimized crystal structure of BeSi2Pd6, as listed in Alexandria via LeMat-Bulk.

Structure (extended XYZ):
```
18
Lattice="-4.6096 -0.5393 -1.7650 2.1378 -4.8499 -4.1012 -1.6970 -5.2416 5.3139" Properties=species:S:1:pos:R:3 pbc="T T T"
Pd -3.4464 -4.1733 1.1856
Pd 0.0133 -1.9778 -1.1765
Pd -0.6687 -3.9846 0.7792
Pd -2.3371 -3.9871 -1.5612
Pd -1.8317 -6.6438 1.0089
Pd -4.1525 -6.1252 3.1877
Pd -0.7224 -6.4575 -1.7380
Pd -2.3822 -6.3478 -4.2685
Pd -4.1821 -8.6530 0.6241
Pd -3.5001 -6.6462 -1.3315
Pd -0.0163 -4.5056 -3.7401
Pd -1.7866 -4.2830 3.7161
Si -4.7321 -6.2811 0.7851
Si -2.0284 -8.5142 -0.6403
Si -2.1404 -2.1166 0.0880
Si 0.5633 -4.3497 -1.3374
Be -1.2359 -2.6946 -2.9331
Be -0.8485 -2.6208 2.6570
```

Results
- ΔE_f (raw) (eV per atom) = -0.546
- VASP energy (eV/atom) = -5.627
- DOS(E_F) (states/eV/atom) = 0.335

=====

Entry 11:
First-principles (PBE-GGA) data for an optimized crystal structure of Be4SiPd7, as listed in Alexandria via LeMat-Bulk.

Structure (extended XYZ):
```
12
Lattice="4.4206 0.0000 0.0000 2.2103 6.4971 0.2808 2.2103 0.5951 5.7161" Properties=species:S:1:pos:R:3 pbc="T T T"
Pd 2.2103 1.1019 2.5189
Pd 4.4206 4.2946 4.2824
Pd 2.2103 0.0000 0.0000
Pd 2.2103 4.4379 1.3017
Pd 4.4206 2.7976 1.7144
Pd 6.6309 5.9904 3.4780
Pd 6.6309 2.6543 4.6952
Be 4.4206 5.2227 2.2659
Be 4.4206 1.8696 3.7310
Be 2.2103 2.2857 0.5342
Be 6.6309 4.8065 5.4627
Si 0.0000 0.0000 0.0000
```

Results
- ΔE_f (raw) (eV per atom) = -0.298
- VASP energy (eV/atom) = -5.021
- DOS(E_F) (states/eV/atom) = 0.284

=====

Entry 12:
First-principles (PBE-GGA) data for an optimized crystal structure of Be2SiPd2, as listed in Alexandria via LeMat-Bulk.

Structure (extended XYZ):
```
10
Lattice="-5.0972 -3.2977 2.3822 -0.1753 -3.6372 -5.4103 1.8355 -1.9386 1.2438" Properties=species:S:1:pos:R:3 pbc="T T T"
Pd -1.8898 -4.1889 -3.7402
Pd -0.8663 -1.7649 -1.4723
Pd -4.4062 -5.1701 -1.5558
Pd -3.3828 -2.7460 0.7120
Be -2.4741 -6.2094 -2.5399
Be -0.9630 -2.6643 0.7556
Be 0.1146 -3.7290 -2.4941
Be -3.5517 -5.1446 0.7098
Si 0.0000 0.0000 0.0000
Si -2.6363 -3.4675 -1.5141
```

Results
- ΔE_f (raw) (eV per atom) = -0.320
- offset from the most stable computed form (kcal/mol of atoms) = 0.566
- VASP energy (eV/atom) = -4.972
- DOS(E_F) (states/eV/atom) = 0.244

=====

Entry 13:
First-principles (PBE-GGA) data for an optimized crystal structure of BeSiPd, as listed in Alexandria via LeMat-Bulk.

Structure (extended XYZ):
```
3
Lattice="-1.1878 -2.8874 -0.5077 0.6577 0.2714 -3.0821 3.6304 -0.1797 2.3821" Properties=species:S:1:pos:R:3 pbc="T T T"
Si 0.5139 -1.6523 -1.6590
Be 1.9314 -0.8538 0.3370
Pd 2.7458 -2.6389 -1.2696
```

Results
- ΔE_f (raw) (eV per atom) = -0.283
- offset from the most stable computed form (kcal/mol of atoms) = 0.000
- VASP energy (eV/atom) = -5.064
- DOS(E_F) (states/eV/atom) = 0.331

=====

Entry 14:
First-principles (PBE-GGA) data for an optimized crystal structure of BeSiPd3, as listed in Alexandria via LeMat-Bulk.

Structure (extended XYZ):
```
5
Lattice="4.1955 0.0000 0.0000 0.0000 4.1955 0.0000 0.0000 0.0000 4.1955" Properties=species:S:1:pos:R:3 pbc="T T T"
Be 0.0000 0.0000 0.0000
Pd 0.0000 2.0977 0.0000
Pd 2.0977 0.0000 0.0000
Pd 0.0000 0.0000 2.0977
Si 2.0977 2.0977 2.0977
```

Results
- ΔE_f (raw) (eV per atom) = 0.013
- offset from the most stable computed form (kcal/mol of atoms) = 12.258
- VASP energy (eV/atom) = -4.932
- DOS(E_F) (states/eV/atom) = 0.570

=====

Entry 15:
First-principles (PBE-GGA) data for an optimized crystal structure of BeSiPd3, as listed in Alexandria via LeMat-Bulk.

Structure (extended XYZ):
```
10
Lattice="3.8774 0.0027 -0.0031 1.9435 4.8819 -0.5981 -0.0009 1.1580 7.0181" Properties=species:S:1:pos:R:3 pbc="T T T"
Be 1.1041 2.4826 4.2768
Be 3.0390 2.4597 2.6995
Si 4.9802 4.4126 5.8549
Si 3.0447 0.5315 1.1174
Pd 3.0432 1.2573 4.7542
Pd 3.0424 2.9363 0.2956
Pd 3.0445 4.0546 4.3989
Pd 1.1020 0.8873 2.5765
Pd 1.1050 2.0061 6.6800
Pd 4.9799 3.6870 2.2182
```

Results
- ΔE_f (raw) (eV per atom) = -0.518
- offset from the most stable computed form (kcal/mol of atoms) = 0.000
- VASP energy (eV/atom) = -5.464
- DOS(E_F) (states/eV/atom) = 0.178

=====

Entry 16:
First-principles (PBE-GGA) data for an optimized crystal structure of BeSiPd, as listed in Alexandria via LeMat-Bulk.

Structure (extended XYZ):
```
3
Lattice="-2.7426 0.3266 -2.8070 0.8761 -0.9256 -3.7260 -1.5355 -3.2350 -1.6384" Properties=species:S:1:pos:R:3 pbc="T T T"
Pd -0.8505 -0.9585 -2.0428
Si -1.7010 -1.9171 -4.0857
Be 0.0000 0.0000 0.0000
```

Results
- ΔE_f (raw) (eV per atom) = -0.216
- offset from the most stable computed form (kcal/mol of atoms) = 1.545
- VASP energy (eV/atom) = -4.997
- DOS(E_F) (states/eV/atom) = 0.779

=====

Entry 17:
First-principles (PBE-GGA) data for an optimized crystal structure of BeSi2Pd, as listed in Alexandria via LeMat-Bulk.

Structure (extended XYZ):
```
8
Lattice="3.7170 0.0000 0.0000 0.0000 3.7170 0.0000 1.8585 1.8585 8.0772" Properties=species:S:1:pos:R:3 pbc="T T T"
Be 1.8585 1.8585 0.0000
Be 1.8585 3.7170 4.0386
Pd 0.0000 0.0000 0.0000
Pd 3.7170 1.8585 4.0386
Si 2.7878 2.8884 6.0579
Si 2.6871 0.9293 2.0193
Si 4.6463 4.5456 6.0579
Si 1.0299 2.7878 2.0193
```

Results
- ΔE_f (raw) (eV per atom) = -0.032
- VASP energy (eV/atom) = -4.973
- DOS(E_F) (states/eV/atom) = 0.316

=====

Entry 18:
First-principles (PBE-GGA) data for an optimized crystal structure of Sm2BeSiPd6, as listed in Alexandria via LeMat-Bulk.

Structure (extended XYZ):
```
10
Lattice="-2.1825 4.1886 4.2826 -2.9615 -4.7191 3.1063 1.1132 -0.9201 6.2130" Properties=species:S:1:pos:R:3 pbc="T T T"
Pd -0.7902 -0.5819 4.9122
Pd -3.8143 -0.3917 5.4797
Pd -0.2166 -1.0589 8.1222
Pd -2.7604 -2.4171 3.4107
Pd -3.2406 -0.8687 8.6897
Pd -1.2704 0.9665 10.1912
Si 0.0000 0.0000 0.0000
Sm -2.2098 -2.9523 6.5071
Sm -1.8210 1.5018 7.0948
Be -2.5720 -0.2653 3.6945
```

Results
- ΔE_f (raw) (eV per atom) = -0.639
- VASP energy (eV/atom) = -5.614
- DOS(E_F) (states/eV/atom) = 0.684

=====

Entry 19:
First-principles (PBE-GGA) data for an optimized crystal structure of Sm2BeSi4Pd3, as listed in Alexandria via LeMat-Bulk.

Structure (extended XYZ):
```
10
Lattice="-1.4575 -3.8733 0.2025 1.9516 -0.9193 -3.5376 8.1297 -2.7869 5.2092" Properties=species:S:1:pos:R:3 pbc="T T T"
Pd 2.0077 -0.8134 -1.1076
Pd 4.0648 -1.3934 2.6046
Pd 6.3690 -4.3698 4.6492
Si 0.2470 -2.3963 -1.6675
Si 0.0000 0.0000 0.0000
Si 3.9884 -1.4924 0.1616
Si 4.3883 -3.6908 3.3800
Sm 1.3327 -2.6433 1.4221
Sm 7.0440 -2.5398 2.1195
Be 4.3119 -3.7897 0.9370
```

Results
- ΔE_f (raw) (eV per atom) = -0.773
- VASP energy (eV/atom) = -5.817
- DOS(E_F) (states/eV/atom) = 0.327

=====

Entry 20:
First-principles (PBE-GGA) data for an optimized crystal structure of Sm2Be3Si4Pd, as listed in Alexandria via LeMat-Bulk.

Structure (extended XYZ):
```
10
Lattice="-3.1054 -2.4045 -0.6763 1.8136 -1.4287 -3.2484 4.2477 -7.0213 5.4596" Properties=species:S:1:pos:R:3 pbc="T T T"
Si 2.4372 -3.2440 0.3428
Si -0.6459 -1.9166 -1.9623
Si 0.0000 0.0000 0.0000
Si 1.1646 -5.6939 3.1545
Be 1.4572 -1.6240 -0.9168
Be 2.1446 -7.3139 4.4141
Be 2.1238 -3.5107 2.7298
Sm -0.5171 -2.9141 0.9930
Sm 4.1189 -6.0238 2.5043
Pd 1.4779 -5.4273 0.7675
```

Results
- ΔE_f (raw) (eV per atom) = -0.525
- VASP energy (eV/atom) = -5.275
- DOS(E_F) (states/eV/atom) = 0.316